Record 1
DFT (GGA-PBE) results for a relaxed structure of CaGe2Cl.

Calculated values
For the energy above the most stable polymorph in this dataset, the calculation gives 411 meV per atom. The value obtained for the raw total energy is -12.8 eV per cell. As for the spin magnetization: 0.0 μB/cell. The energy relative to the elements, uncorrected comes out at 0.29 eV/f.u.

Cell: 5.1219 5.1219 5.1219 Å, 60.00 60.00 60.00°
Atoms (fractional coordinates):
Ge: 0.2500 0.2500 0.2500
Ge: 0.7500 0.7500 0.7500
Ca: 0.5000 0.5000 0.5000
Cl: 0.0000 0.0000 0.0000

---

Record 2
DFT (GGA-PBE) results for a relaxed structure of SmEr6Tm4.

Calculated values
For the energy above the most stable polymorph in this dataset, the calculation gives 0 meV per atom. The value obtained for the raw total energy is -97.2 eV per cell. As for the spin magnetization: 0.0 μB/cell. The value obtained for the energy of formation is 0.125 eV per atom.

Cell: 5.5877 5.5458 25.4257 Å, 90.00 90.00 120.25°
Atoms (fractional coordinates):
Sm: 0.8249 0.6498 0.2500
Sm: 0.1751 0.3502 0.7500
Er: 0.5000 0.0000 0.0000
Er: 0.5000 0.0000 0.5000
Er: 0.1572 0.3145 0.3193
Er: 0.8428 0.6855 0.6807
Er: 0.8428 0.6855 0.8193
Er: 0.1572 0.3145 0.1807
Er: 0.8245 0.6491 0.3984
Er: 0.1755 0.3509 0.6016
Er: 0.1755 0.3509 0.8984
Er: 0.8245 0.6491 0.1016
Er: 0.4912 0.9823 0.2500
Er: 0.5088 0.0177 0.7500
Tm: 0.8365 0.6731 0.5417
Tm: 0.4893 0.9787 0.1214
Tm: 0.1635 0.3269 0.4583
Tm: 0.5107 0.0213 0.8786
Tm: 0.8365 0.6731 0.9583
Tm: 0.1635 0.3269 0.0417
Tm: 0.5107 0.0213 0.6214
Tm: 0.4893 0.9787 0.3786

---

Record 3
DFT (GGA-PBE) results for a relaxed structure of Nd6HgRh.

Calculated values
The value obtained for the raw total energy is -37.1 eV per cell. As for the spin magnetization: 0.0 μB/cell. The value obtained for the energy of formation is -0.107 eV per atom.

Cell: 7.0158 7.0636 7.7085 Å, 63.21 63.41 60.13°
Atoms (fractional coordinates):
Nd: 0.0465 0.4195 0.7530
Nd: 0.7795 0.0438 0.7516
Nd: 0.5798 0.2176 0.2484
Nd: 0.2205 0.9562 0.2484
Nd: 0.9535 0.5805 0.2470
Nd: 0.4202 0.7824 0.7516
Hg: 0.5000 0.5000 0.5000
Rh: 0.0000 0.0000 0.0000

---

Record 4
DFT (GGA-PBE) results for a relaxed structure of Ac2SmB3Pt12.

Calculated values
The value obtained for the raw total energy is -113.7 eV per cell. As for the spin magnetization: 0.0 μB/cell. The value obtained for the energy of formation is -0.456 eV per atom.

Cell: 7.7100 7.7100 7.7100 Å, 62.94 62.94 62.94°
Atoms (fractional coordinates):
Ac: 0.5995 0.5995 0.5995
Ac: 0.4005 0.4005 0.4005
Sm: 0.0000 0.0000 0.0000
B: 0.5000 0.0000 0.0000
B: 0.0000 0.5000 0.0000
B: 0.0000 0.0000 0.5000
Pt: 0.3163 0.3163 0.9126
Pt: 0.8668 0.8668 0.4151
Pt: 0.4151 0.8668 0.8668
Pt: 0.9126 0.3163 0.3163
Pt: 0.8668 0.4151 0.8668
Pt: 0.3163 0.9126 0.3163
Pt: 0.6837 0.6837 0.0874
Pt: 0.1332 0.1332 0.5849
Pt: 0.5849 0.1332 0.1332
Pt: 0.0874 0.6837 0.6837
Pt: 0.1332 0.5849 0.1332
Pt: 0.6837 0.0874 0.6837

---

Record 5
DFT (GGA-PBE) results for a relaxed structure of CsRb2CdP2.

Calculated values
The value obtained for the raw total energy is -31.0 eV per cell. As for the spin magnetization: 1.8 μB/cell. The value obtained for the energy of formation is -0.159 eV per atom.

Cell: 8.5372 7.1776 9.2102 Å, 112.93 117.61 90.00°
Each line ends with the local moment (μB).
Atoms (fractional coordinates):
Cs: 0.0000 0.7500 0.0000  0.01
Cs: 0.0000 0.2500 0.0000  0.01
Rb: 0.4983 0.1825 0.3651  0.01
Rb: 0.5017 0.8175 0.6349  0.01
Rb: 0.1332 0.3175 0.6349  0.01
Rb: 0.8668 0.6825 0.3651  0.01
Cd: 0.5000 0.7500 0.0000  0.01
Cd: 0.5000 0.2500 0.0000  0.01
P: 0.7702 0.0925 0.1850  0.17
P: 0.4148 0.5925 0.1850  0.17
P: 0.5852 0.4075 0.8150  0.17
P: 0.2298 0.9075 0.8150  0.17

---

Record 6
DFT (GGA-PBE) results for a relaxed structure of Np4Ge8Au.

Calculated values
The value obtained for the raw total energy is -93.4 eV per cell. As for the spin magnetization: 15.1 μB/cell. The value obtained for the energy of formation is -0.106 eV per atom.

Cell: 3.9856 4.2263 16.1241 Å, 90.00 90.00 90.00°
Each line ends with the local moment (μB).
Atoms (fractional coordinates):
Np: 0.0000 0.0000 0.0800  3.60
Np: 0.0000 0.5000 0.6137  3.52
Np: 0.5000 0.5000 0.4172  3.92
Np: 0.5000 0.0000 0.8951  3.51
Ge: 0.0000 0.0000 0.4788  -0.05
Ge: 0.0000 0.5000 0.9292  -0.05
Ge: 0.5000 0.5000 0.0380  -0.06
Ge: 0.5000 0.0000 0.5833  -0.03
Ge: 0.0000 0.5000 0.2191  -0.03
Ge: 0.0000 0.0000 0.7521  -0.02
Ge: 0.5000 0.0000 0.2167  -0.04
Ge: 0.5000 0.5000 0.7577  -0.02
Au: 0.0000 0.0000 0.3221  -0.01

---

Look up the raw total energy of the fourth one.
-113.7 eV per cell